A plane-wave DFT calculation with PBE-GGA was carried out for crystalline Th2Ge4Ir3Pd at its relaxed geometry.

The space group is P-4m2 (No. 115) and the conventional cell measures 4.3204, 4.3204 and 10.1137 Å, with angles of 90.00, 90.00 and 90.00 degrees. The distinct sites, in fractional coordinates, are Th at (0.0000, 0.5000, 0.2452), Ge at (0.0000, 0.0000, 0.0000), Ge at (0.0000, 0.5000, 0.6327), Ge at (0.5000, 0.5000, 0.0000), Ir at (0.0000, 0.5000, 0.8743), Ir at (0.5000, 0.5000, 0.5000) and Pd at (0.0000, 0.0000, 0.5000).

The calculation puts the total magnetic moment at 0.000 Bohr magnetons per cell. The value obtained for the formation energy is -77.6 kJ/mol of atoms. The value obtained for the calculated density is 12.65 g cm⁻³.

A plane-wave DFT calculation with PBE-GGA was carried out for crystalline Pm8Ge2Ir at its relaxed geometry.

The space group is C2/m (No. 12) and the conventional cell measures 19.2395, 4.8657 and 6.8736 Å, with angles of 90.00, 103.00 and 90.00 degrees. The distinct sites, in fractional coordinates, are Pm at (0.0228, 0.0000, 0.2854), Pm at (0.0926, 0.5000, 0.9678), Pm at (0.1538, 0.5000, 0.4975), Pm at (0.2163, 0.0000, 0.8318), Ge at (0.1827, 0.0000, 0.2540) and Ir at (0.0000, 0.5000, 0.5000).

The calculation puts the total magnetic moment at 0.000 Bohr magnetons per cell. The value obtained for the formation energy is -42.8 kJ/mol of atoms. The value obtained for the calculated density is 7.93 g cm⁻³.

no.,energy (eV per atom),Fermi-level density of states (states/eV per atom)
1,-7.31,0.83
2,-5.54,0.81